The following is a DFT calculation (GGA-PBE) of a relaxed structure of TcPHCl2.

Results
SG: P4/mmm (123)
distance to the lowest polymorph of the same formula: 42.7 kJ/mol of atoms

The structure in extended XYZ format:
```
5
Lattice="4.608 0.000 0.000 0.000 4.608 0.000 0.000 0.000 3.247" Properties=species:S:1:pos:R:3 pbc="T T T"
P 0.000 0.000 1.623
Cl 2.304 0.000 0.000
Cl 0.000 2.304 0.000
H 0.000 0.000 0.000
Tc 2.304 2.304 1.623
```

The following is a DFT calculation (GGA-PBE) of a relaxed structure of Tb8DySc3.

Results
ΔH_f (0 K): 0.079 eV/atom
SG: P1 (1)

The structure in extended XYZ format:
```
12
Lattice="-1.360 1.978 5.283 -8.830 -2.816 -0.961 7.079 -5.571 0.205" Properties=species:S:1:pos:R:3 pbc="T T T"
Tb -0.247 -5.024 4.222
Tb -2.887 -1.318 0.327
Tb 0.608 -1.711 0.445
Tb -3.773 -4.667 4.051
Tb -4.948 -4.161 0.591
Tb 1.773 -2.276 3.900
Tb -7.640 -2.022 1.723
Tb 4.681 -4.426 2.881
Sc -1.479 -1.999 3.341
Sc 1.678 -4.792 1.450
Sc -4.628 -1.562 3.151
Dy -1.554 -4.400 1.099
```

The following is a DFT calculation (GGA-PBE) of a relaxed structure of Ce3Pu2NbN6.

Results
SG: C2/m (12)
formation energy without anion corrections: -1378 meV per atom

The structure in extended XYZ format:
```
12
Lattice="5.956 0.001 0.002 -2.976 5.159 0.002 -0.992 -1.718 5.657" Properties=species:S:1:pos:R:3 pbc="T T T"
Nb 0.000 0.000 0.000
N -0.043 -0.074 4.360
N 1.897 -0.001 1.279
N 0.091 3.443 4.382
N 2.030 3.516 1.301
N -0.949 1.643 1.279
N 2.937 1.799 4.382
Ce 0.994 1.721 2.830
Ce -1.987 3.443 2.830
Ce 3.975 -0.001 2.830
Pu 0.003 3.439 0.002
Pu 2.977 1.721 0.002
```

The following is a DFT calculation (GGA-PBE) of a relaxed structure of Li5PmAu2.

Results
ΔH_f (0 K): -0.388 eV/atom
SG: Immm (71)

The structure in extended XYZ format:
```
8
Lattice="-3.401 -1.788 1.238 0.231 -6.386 -2.007 1.445 -3.465 5.546" Properties=species:S:1:pos:R:3 pbc="T T T"
Li -1.905 -5.062 0.620
Li 0.179 -6.577 4.157
Li -1.456 -3.981 3.416
Li -0.270 -7.658 1.361
Li 0.838 -4.926 1.770
Au -1.200 -8.879 3.626
Au -0.525 -2.761 1.152
Pm 0.000 0.000 0.000
```